(1)
Computed, not measured: a geometry-optimized La3PmY2 structure at the GGA-PBE level of DFT.

Unit cell a=6.8368 b=18.1074 c=3.4565 alpha=90.00 beta=90.00 gamma=90.00
Closest atoms and distances in Å follow each position.
Space group Pnnm (No. 58)
One atom of each set of equivalent atoms:
La 0.0000 0.0000 0.0000  2 La 3.46, 4 Y 3.63, 4 Pm 3.83
La 0.2301 0.3228 0.0000  4 Y 3.42-3.51, 2 La 3.46, 1 Pm 3.57
Pm 0.0000 0.5000 0.0000  2 Y 3.36, 2 Pm 3.46, 2 La 3.57
Y 0.2266 0.1541 0.5000  1 Pm 3.36, 6 La 3.42-3.63, 2 Y 3.46

## Properties
formation energy	255	meV per atom
ΔE to the lowest computed polymorph	239	meV/atom
magnetic moment	0.00	μB/atom



(2)
Computed, not measured: a geometry-optimized CsTl9Pb2 structure at the GGA-PBE level of DFT.

Unit cell a=11.2822 b=11.2822 c=3.6329 alpha=90.00 beta=90.00 gamma=120.00
Closest atoms and distances in Å follow each position.
Space group P6/mmm (No. 191)
One atom of each set of equivalent atoms:
Cs 0.0000 0.0000 0.0000  2 Cs 3.63, 12 Tl 4.01
Tl 0.0000 0.5000 0.0000  2 Pb 3.26, 10 Tl 3.60-3.63
Tl 0.1828 0.3656 0.5000  2 Pb 3.46, 8 Tl 3.57-3.63
Pb 0.3333 0.6667 0.0000  9 Tl 3.26-3.46, 2 Pb 3.63

## Properties
formation energy	-12	meV per atom
magnetic moment	0.00	μB/atom



(3)
Computed, not measured: a geometry-optimized Ac4GaSeCl2 structure at the GGA-PBE level of DFT.

Unit cell a=7.5247 b=4.6092 c=7.8684 alpha=90.00 beta=111.06 gamma=90.00
Closest atoms and distances in Å follow each position.
Space group P2/m (No. 10)
One atom of each set of equivalent atoms:
Ac 0.2397 0.0000 0.2409  2 Ga 3.11, 1 Se 3.17, 3 Cl 3.18-3.23
Ac 0.2410 0.5000 0.7536  1 Ga 3.09, 2 Se 3.16, 3 Cl 3.19-3.25
Ga 0.0000 0.5000 0.0000  6 Ac 3.09-3.11
Se 0.0000 0.0000 0.5000  6 Ac 3.16-3.17
Cl 0.5000 0.0000 0.0000  6 Ac 3.18-3.19
Cl 0.5000 0.5000 0.5000  6 Ac 3.23-3.25

## Properties
ΔE_f (raw)	-1.3335	eV/atom
magnetic moment	0.00	μB/atom



(4)
Computed, not measured: a geometry-optimized La2CdFe structure at the GGA-PBE level of DFT.

Unit cell a=3.6005 b=3.6005 c=8.1216 alpha=90.00 beta=90.00 gamma=90.00
Closest atoms and distances in Å follow each position.
Space group P4/mmm (No. 123)
One atom of each set of equivalent atoms:
La 0.0000 0.0000 0.2102  4 Fe 3.07, 1 La 3.41
Cd 0.5000 0.5000 0.5000  8 La 3.47, 4 Cd 3.60
Fe 0.5000 0.5000 0.0000  8 La 3.07

## Properties
formation energy	-20	meV per atom
magnetic moment	0.35	μB/atom



(5)
Computed, not measured: a geometry-optimized GaAgHg2Br4 structure at the GGA-PBE level of DFT.

Unit cell a=6.9599 b=13.2117 c=29.0899 alpha=90.00 beta=90.00 gamma=90.00
Closest atoms and distances in Å follow each position.
Space group Fddd (No. 70, origin choice 2)
One atom of each set of equivalent atoms:
Ga 0.1250 0.1250 0.1250  4 Br 2.38
Ag 0.1250 0.1250 0.6250  4 Br 2.76
Hg 0.1250 0.1250 0.4698  4 Br 3.99-4.02, 2 Hg 4.13
Br 0.0839 0.2750 0.3291  1 Ga 2.38

## Properties
ΔE_f (raw)	-0.4748	eV/atom
magnetic moment	0.00	μB/atom



(6)
Computed, not measured: a geometry-optimized TiAlPt3 structure at the GGA-PBE level of DFT.

Unit cell a=4.5333 b=4.5333 c=4.5333 alpha=90.00 beta=90.00 gamma=90.00
Closest atoms and distances in Å follow each position.
Space group Pm-3m (No. 221)
One atom of each set of equivalent atoms:
Ti 0.0000 0.0000 0.0000  12 Pt 3.21
Al 0.5000 0.5000 0.5000  6 Pt 2.27
Pt 0.0000 0.5000 0.5000  2 Al 2.27

## Properties
formation energy	159	meV per atom
ΔE to the lowest computed polymorph	1101	meV/atom
magnetic moment	0.00	μB/atom



Number 1: electronic total energy -61.86 eV per cell, ρ 5.74 g/cm³. Number 2: electronic total energy -29.71 eV per cell, ρ 9.90 g/cm³. Number 3: electronic total energy -37.31 eV per cell, ρ 7.35 g/cm³. Number 4: electronic total energy -19.31 eV per cell, ρ 7.04 g/cm³. Number 5: electronic total energy -135.78 eV per cell, ρ 4.46 g/cm³. Number 6: electronic total energy -28.96 eV per cell, ρ 11.77 g/cm³.